# PBE Tb4HfZn5, optimized geometry
# calculated formation energy	-0.286	eV per atom
# DOS(E_F)	11.62	states/eV per cell
# DFT total energy	-3.770	eV per atom
data_Tb4HfZn5
_symmetry_space_group_name_H-M 'P 1'
_symmetry_Int_Tables_number 1
_cell_length_a 3.519
_cell_length_b 3.519
_cell_length_c 17.684
_cell_angle_alpha 90.00
_cell_angle_beta 90.00
_cell_angle_gamma 90.00
loop_
_symmetry_equiv_pos_as_xyz
'x,y,z'
loop_
_atom_site_label
_atom_site_type_symbol
_atom_site_fract_x
_atom_site_fract_y
_atom_site_fract_z
_atom_site_occupancy
Tb1 Tb 0.000 0.000 0.104 1
Tb2 Tb 0.000 0.000 0.310 1
Tb3 Tb 0.000 0.000 0.690 1
Tb4 Tb 0.000 0.000 0.896 1
Hf1 Hf 0.000 0.000 0.500 1
Zn1 Zn 0.500 0.500 0.000 1
Zn2 Zn 0.500 0.500 0.207 1
Zn3 Zn 0.500 0.500 0.417 1
Zn4 Zn 0.500 0.500 0.583 1
Zn5 Zn 0.500 0.500 0.793 1

---

# PBE ScZnRh2, optimized geometry
# calculated formation energy	-0.541	eV per atom
# DOS(E_F)	3.22	states/eV per cell
# DFT total energy	-6.118	eV per atom
data_ScZnRh2
_symmetry_space_group_name_H-M 'P 1'
_symmetry_Int_Tables_number 1
_cell_length_a 4.542
_cell_length_b 4.542
_cell_length_c 4.954
_cell_angle_alpha 103.35
_cell_angle_beta 103.35
_cell_angle_gamma 39.09
loop_
_symmetry_equiv_pos_as_xyz
'x,y,z'
loop_
_atom_site_label
_atom_site_type_symbol
_atom_site_fract_x
_atom_site_fract_y
_atom_site_fract_z
_atom_site_occupancy
Sc1 Sc 0.000 0.000 0.000 1
Zn1 Zn 0.500 0.500 0.500 1
Rh1 Rh 0.246 0.246 0.732 1
Rh2 Rh 0.754 0.754 0.268 1

---

# PBE LiTl3In4, optimized geometry
# calculated formation energy	-0.003	eV per atom
# DOS(E_F)	2.51	states/eV per cell
# DFT total energy	-2.499	eV per atom
data_LiTl3In4
_symmetry_space_group_name_H-M 'P 1'
_symmetry_Int_Tables_number 1
_cell_length_a 12.737
_cell_length_b 12.737
_cell_length_c 5.463
_cell_angle_alpha 101.63
_cell_angle_beta 101.63
_cell_angle_gamma 14.76
loop_
_symmetry_equiv_pos_as_xyz
'x,y,z'
loop_
_atom_site_label
_atom_site_type_symbol
_atom_site_fract_x
_atom_site_fract_y
_atom_site_fract_z
_atom_site_occupancy
Li1 Li 0.000 0.000 0.000 1
Tl1 Tl 0.345 0.345 0.343 1
Tl2 Tl 0.500 0.500 0.500 1
Tl3 Tl 0.655 0.655 0.657 1
In1 In 0.214 0.214 0.215 1
In2 In 0.404 0.404 0.898 1
In3 In 0.596 0.596 0.102 1
In4 In 0.786 0.786 0.785 1

---

# PBE YVAu3, optimized geometry
# calculated formation energy	0.158	eV per atom
# DOS(E_F)	5.31	states/eV per cell
# DFT total energy	-4.925	eV per atom
data_YVAu3
_symmetry_space_group_name_H-M 'P 1'
_symmetry_Int_Tables_number 1
_cell_length_a 4.915
_cell_length_b 4.915
_cell_length_c 4.915
_cell_angle_alpha 90.00
_cell_angle_beta 90.00
_cell_angle_gamma 90.00
loop_
_symmetry_equiv_pos_as_xyz
'x,y,z'
loop_
_atom_site_label
_atom_site_type_symbol
_atom_site_fract_x
_atom_site_fract_y
_atom_site_fract_z
_atom_site_occupancy
Y1 Y 0.000 0.000 0.000 1
V1 V 0.500 0.500 0.500 1
Au1 Au 0.000 0.500 0.500 1
Au2 Au 0.500 0.000 0.500 1
Au3 Au 0.500 0.500 0.000 1